(1)
{"formula": "MnMo2O", "functional": "PBE with a Hubbard U", "state": "optimized geometry", "lattice": [[-1.6543, 4.5466, 1.5206], [-0.1496, -1.6568, 4.7910], [3.8722, 2.9572, 3.8278]], "species": ["Mo", "Mo", "Mo", "Mo", "O", "O", "Mn", "Mn"], "fractional_positions": [[0.3750, 0.4324, 0.7500], [0.1824, 0.6250, 0.2500], [0.8750, 0.8176, 0.7500], [0.5676, 0.1250, 0.2500], [0.2500, 0.7500, 0.5000], [0.5000, 0.5000, 0.0000], [0.0000, 0.0000, 0.0000], [0.7500, 0.2500, 0.5000]], "crystal_system": "tetragonal", "sg": "I-42d (122)", "e_tot_ev_per_atom": -5.185}

=====

(2)
{"formula": "MnMoO3", "functional": "PBE with a Hubbard U", "state": "optimized geometry", "lattice": [[4.6211, 0.0000, 2.2011], [1.7863, 4.2619, 2.2011], [-0.0435, -0.0289, 6.0428]], "species": ["Mn", "Mn", "O", "O", "O", "O", "O", "O", "Mo", "Mo"], "fractional_positions": [[0.8572, 0.8572, 0.4285], [0.1428, 0.1428, 0.5715], [0.4558, 0.0638, 0.7612], [0.2808, 0.9362, 0.2388], [0.7192, 0.4558, 0.7612], [0.5442, 0.2808, 0.2388], [0.9362, 0.5442, 0.2388], [0.0638, 0.7192, 0.7612], [0.3384, 0.3384, 0.9849], [0.6616, 0.6616, 0.0151]], "crystal_system": "trigonal", "sg": "R32 (155)", "e_tot_ev_per_atom": -7.314}

=====

(3)
{"formula": "Mn2Mo2O7", "functional": "PBE with a Hubbard U", "state": "optimized geometry", "lattice": [[-1.5425, -4.9542, 5.0607], [5.1139, -4.6365, 2.2103], [2.8182, 0.6130, 6.6495]], "species": ["O", "O", "O", "O", "O", "O", "O", "O", "O", "O", "O", "O", "O", "O", "Mo", "Mo", "Mo", "Mo", "Mn", "Mn", "Mn", "Mn"], "fractional_positions": [[0.7970, 0.2030, 0.7970], [0.4530, 0.0470, 0.4530], [0.0470, 0.4530, 0.4530], [0.5000, 0.5000, 0.5000], [0.0470, 0.4530, 0.0470], [0.2030, 0.7970, 0.2030], [0.4530, 0.0470, 0.0470], [0.2030, 0.7970, 0.7970], [0.7970, 0.7970, 0.2030], [0.7500, 0.7500, 0.7500], [0.4530, 0.4530, 0.0470], [0.0470, 0.0470, 0.4530], [0.7970, 0.2030, 0.2030], [0.2030, 0.2030, 0.7970], [0.1250, 0.1250, 0.1250], [0.6250, 0.1250, 0.1250], [0.1250, 0.6250, 0.1250], [0.1250, 0.1250, 0.6250], [0.6250, 0.1250, 0.6250], [0.1250, 0.6250, 0.6250], [0.6250, 0.6250, 0.1250], [0.6250, 0.6250, 0.6250]], "crystal_system": "cubic", "sg": "Fd-3m (227)", "e_tot_ev_per_atom": -7.405}

=====

(4)
{"formula": "Mn4Mo2O", "functional": "PBE with a Hubbard U", "state": "optimized geometry", "lattice": [[-2.8627, 3.0671, -0.3413], [-0.6168, -0.1125, 4.1624], [3.5730, 6.5388, 2.8346]], "species": ["O", "Mn", "Mn", "Mn", "Mn", "Mo", "Mo"], "fractional_positions": [[0.0000, 0.0000, 0.0000], [0.1525, 0.1525, 0.6951], [0.0000, 0.5000, 0.0000], [0.5000, 0.0000, 0.0000], [0.8475, 0.8475, 0.3049], [0.3414, 0.3414, 0.3171], [0.6586, 0.6586, 0.6829]], "crystal_system": "tetragonal", "sg": "I4/mmm (139)", "e_tot_ev_per_atom": -6.561}

=====

(5)
{"formula": "MnMo2O8", "functional": "PBE with a Hubbard U", "state": "optimized geometry", "lattice": [[-1.0204, -4.6412, -1.9783], [6.8178, -4.5276, -3.1777], [-4.2149, 1.3205, 5.8039]], "species": ["O", "O", "O", "O", "O", "O", "O", "O", "Mn", "Mo", "Mo"], "fractional_positions": [[0.2830, 0.6346, 0.6596], [0.7891, 0.9023, 0.0501], [0.7347, 0.8800, 0.6569], [0.7243, 0.3426, 0.7428], [0.2109, 0.0977, 0.9499], [0.2653, 0.1200, 0.3431], [0.2757, 0.6574, 0.2572], [0.7170, 0.3654, 0.3404], [0.0000, 0.0000, 0.0000], [0.4634, 0.7441, 0.5675], [0.5366, 0.2559, 0.4325]], "crystal_system": "triclinic", "sg": "P-1 (2)", "e_tot_ev_per_atom": -7.008}

=====

(6)
{"formula": "Mn3MoO", "functional": "PBE with a Hubbard U", "state": "optimized geometry", "lattice": [[-5.0835, 1.0815, 0.4175], [-0.6372, -1.0377, -5.0699], [-0.9685, -4.9940, 1.1438]], "species": ["Mn", "Mn", "Mn", "Mo", "O"], "fractional_positions": [[0.0000, 0.0000, 0.5000], [0.0000, 0.5000, 0.0000], [0.5000, 0.0000, 0.0000], [0.0000, 0.0000, 0.0000], [0.5000, 0.5000, 0.5000]], "crystal_system": "cubic", "polymorph_energy_kj_per_mol_atoms": 156.1, "sg": "Pm-3m (221)"}

=====

(7)
{"formula": "MnMoO2", "functional": "PBE with a Hubbard U", "state": "optimized geometry", "lattice": [[5.6373, 0.0000, 0.0000], [0.0000, 5.6373, 0.0000], [2.8186, 2.8186, 3.4808]], "species": ["Mo", "Mo", "O", "O", "O", "O", "Mn", "Mn"], "fractional_positions": [[0.0000, 0.0000, 0.0000], [0.7500, 0.2500, 0.5000], [0.3750, 0.3942, 0.7500], [0.1442, 0.6250, 0.2500], [0.8750, 0.8558, 0.7500], [0.6058, 0.1250, 0.2500], [0.5000, 0.5000, 0.0000], [0.2500, 0.7500, 0.5000]], "crystal_system": "tetragonal", "polymorph_energy_kj_per_mol_atoms": 46.2, "sg": "I-42d (122)"}

=====

(8)
{"formula": "MnMoO2", "functional": "PBE with a Hubbard U", "state": "optimized geometry", "lattice": [[-5.5266, 1.5052, 2.4791], [-3.2223, 3.0242, 4.4074], [-4.1540, 4.4148, 1.4861]], "species": ["Mn", "O", "O", "Mo"], "fractional_positions": [[0.0000, 0.0000, 0.0000], [0.8897, 0.8897, 0.8897], [0.1103, 0.1103, 0.1103], [0.5000, 0.5000, 0.5000]], "crystal_system": "trigonal", "polymorph_energy_kj_per_mol_atoms": 0.0, "sg": "R-3m (166)"}

=====

Copy entry 2 word for word.
{"formula": "MnMoO3", "functional": "PBE with a Hubbard U", "state": "optimized geometry", "lattice": [[4.6211, 0.0000, 2.2011], [1.7863, 4.2619, 2.2011], [-0.0435, -0.0289, 6.0428]], "species": ["Mn", "Mn", "O", "O", "O", "O", "O", "O", "Mo", "Mo"], "fractional_positions": [[0.8572, 0.8572, 0.4285], [0.1428, 0.1428, 0.5715], [0.4558, 0.0638, 0.7612], [0.2808, 0.9362, 0.2388], [0.7192, 0.4558, 0.7612], [0.5442, 0.2808, 0.2388], [0.9362, 0.5442, 0.2388], [0.0638, 0.7192, 0.7612], [0.3384, 0.3384, 0.9849], [0.6616, 0.6616, 0.0151]], "crystal_system": "trigonal", "sg": "R32 (155)", "e_tot_ev_per_atom": -7.314}